Pm3Sm3Er: optimized geometry, PBE.

- calculated density (Mg/m³) = 7.38
- raw total energy (eV/atom) = -4.687
- magnetic moment (μB per cell) = 0.00
- formation energy (eV/atom) = 0.0232
- relative energy among the computed polymorphs (meV per atom) = 0.0

Unit cell a=9.7052 b=9.7052 c=5.8117 alpha=90.00 beta=90.00 gamma=120.00
Closest atoms and distances in Å follow each position.
Fractional coordinates of all 14 atoms:
Pm: 0.0470 0.8072 0.2500  5 Sm 3.59-3.68, 6 Pm 3.61-3.70, 1 Er 3.66
Pm: 0.1928 0.2399 0.2500  5 Sm 3.59-3.68, 6 Pm 3.61-3.70, 1 Er 3.66
Pm: 0.2399 0.0470 0.7500  5 Sm 3.59-3.68, 6 Pm 3.61-3.70, 1 Er 3.66
Pm: 0.7601 0.9530 0.2500  5 Sm 3.59-3.68, 6 Pm 3.61-3.70, 1 Er 3.66
Pm: 0.8072 0.7601 0.7500  5 Sm 3.59-3.68, 6 Pm 3.61-3.70, 1 Er 3.66
Pm: 0.9530 0.1928 0.7500  5 Sm 3.59-3.68, 6 Pm 3.61-3.70, 1 Er 3.66
Sm: 0.0948 0.6182 0.7500  4 Sm 3.59-3.67, 5 Pm 3.59-3.68, 3 Er 3.60-3.66
Sm: 0.3818 0.4766 0.7500  4 Sm 3.59-3.67, 5 Pm 3.59-3.68, 3 Er 3.60-3.66
Sm: 0.4766 0.0948 0.2500  4 Sm 3.59-3.67, 5 Pm 3.59-3.68, 3 Er 3.60-3.66
Sm: 0.5234 0.9052 0.7500  4 Sm 3.59-3.67, 5 Pm 3.59-3.68, 3 Er 3.60-3.66
Sm: 0.6182 0.5234 0.2500  4 Sm 3.59-3.67, 5 Pm 3.59-3.68, 3 Er 3.60-3.66
Sm: 0.9052 0.3818 0.2500  4 Sm 3.59-3.67, 5 Pm 3.59-3.68, 3 Er 3.60-3.66
Er: 0.3333 0.6667 0.2500  9 Sm 3.60-3.66, 3 Pm 3.66
Er: 0.6667 0.3333 0.7500  9 Sm 3.60-3.66, 3 Pm 3.66